# 1
LaZn2CdIr: relaxed, GGA-PBE.

```
LaZn2CdIr
1.0
4.969 0.000 0.000
0.000 4.969 0.000
0.000 0.000 5.329
La Cd Zn Ir
1 1 2 1
Direct
0.000 0.000 0.500
0.500 0.500 0.500
0.000 0.500 0.000
0.500 0.000 0.000
0.000 0.000 0.000
```

Summary:
Size of the total moment: 0.000 μB/atom
Symmetry: P4/mmm, No. 123
Energy: -3.66 eV/atom

# 2
LaZrCdIr2: relaxed, GGA-PBE.

```
LaZrCdIr2
1.0
-0.711 -3.361 -3.643
4.912 -1.094 0.050
-0.825 -3.548 3.435
Zr Ir Cd La
1 2 1 1
Direct
0.000 0.500 0.000
0.500 0.000 0.000
0.000 0.000 0.500
0.000 0.000 0.000
0.500 0.500 0.500
```

Summary:
Size of the total moment: 0.342 μB/atom
Symmetry: P4/mmm, No. 123
Energy: -5.45 eV/atom

# 3
LiCd2Ir2: relaxed, GGA-PBE.

```
LiCd2Ir2
1.0
7.978 0.000 0.000
0.000 7.978 0.000
0.000 0.000 2.924
Cd Li Ir
4 2 4
Direct
0.317 0.183 0.500
0.817 0.317 0.500
0.683 0.817 0.500
0.183 0.683 0.500
0.000 0.000 0.000
0.500 0.500 0.000
0.613 0.113 0.000
0.113 0.387 0.000
0.387 0.887 0.000
0.887 0.613 0.000
```

Summary:
Size of the total moment: 0.000 μB/atom
Symmetry: P4/mbm, No. 127
Energy: -4.11 eV/atom

# 4
Li2CdIr2: relaxed, GGA-PBE.

```
Li2CdIr2
1.0
-5.137 -3.395 -4.216
-4.015 -1.510 6.108
-1.305 2.325 -0.283
Li Ir Cd
4 4 2
Direct
0.332 0.832 0.000
0.668 0.168 0.000
0.832 0.668 0.000
0.168 0.332 0.000
0.123 0.623 0.500
0.377 0.123 0.500
0.623 0.877 0.500
0.877 0.377 0.500
0.000 0.000 0.000
0.500 0.500 0.000
```

Summary:
Size of the total moment: 0.000 μB/atom
Symmetry: P4/mbm, No. 127
Energy: -4.32 eV/atom

# 5
Li4CdIr: relaxed, GGA-PBE.

```
Li4CdIr
1.0
-3.870 -3.043 0.012
-4.523 1.766 -0.815
-2.327 -1.040 -4.212
Li Ir Cd
4 1 1
Direct
0.882 0.373 0.373
0.373 0.373 0.882
0.373 0.882 0.373
0.373 0.373 0.373
0.000 0.000 0.000
0.750 0.750 0.750
```

Summary:
Size of the total moment: 0.000 μB/atom
Symmetry: F-43m, No. 216
Energy: -2.91 eV/atom

# 6
Li3CdIr: relaxed, GGA-PBE.

```
Li3CdIr
1.0
4.691 0.000 0.000
0.000 4.691 0.000
0.000 0.000 4.691
Li Cd Ir
3 1 1
Direct
0.000 0.500 0.000
0.000 0.000 0.500
0.500 0.000 0.000
0.500 0.500 0.500
0.000 0.000 0.000
```

Summary:
Size of the total moment: 0.000 μB/atom
Symmetry: Pm-3m, No. 221
Energy: -2.78 eV/atom